A plane-wave DFT calculation with PBE-GGA was carried out for NaH8SeNO6 after structural relaxation.

Unit cell a=6.599 b=8.261 c=13.105 alpha=90.00 beta=90.00 gamma=90.00
Element x y z (fractional)
1 Na 0.582 0.732 0.988
2 Na 0.082 0.768 0.012
3 Na 0.418 0.232 0.512
4 Na 0.918 0.268 0.488
5 H 0.291 0.752 0.811
6 H 0.791 0.748 0.189
7 H 0.709 0.252 0.689
8 H 0.209 0.248 0.311
9 H 0.243 0.579 0.855
10 H 0.743 0.921 0.145
11 H 0.757 0.079 0.645
12 H 0.257 0.421 0.355
13 H 0.155 0.511 0.590
14 H 0.655 0.989 0.410
15 H 0.845 0.011 0.910
16 H 0.345 0.489 0.090
17 H 0.868 0.888 0.821
18 H 0.368 0.612 0.179
19 H 0.132 0.388 0.679
20 H 0.632 0.112 0.321
21 H 0.745 0.726 0.664
22 H 0.245 0.774 0.336
23 H 0.255 0.226 0.836
24 H 0.755 0.274 0.164
25 H 0.642 0.557 0.720
26 H 0.142 0.943 0.280
27 H 0.358 0.057 0.780
28 H 0.858 0.443 0.220
29 H 0.631 0.583 0.591
30 H 0.131 0.917 0.409
31 H 0.369 0.083 0.909
32 H 0.869 0.417 0.091
33 H 0.495 0.709 0.669
34 H 0.995 0.791 0.331
35 H 0.505 0.209 0.831
36 H 0.005 0.291 0.169
37 Se 0.117 0.878 0.615
38 Se 0.617 0.622 0.385
39 Se 0.883 0.378 0.885
40 Se 0.383 0.122 0.115
41 N 0.127 0.858 0.339
42 N 0.627 0.642 0.661
43 N 0.873 0.358 0.161
44 N 0.373 0.142 0.839
45 O 0.311 0.876 0.699
46 O 0.811 0.624 0.301
47 O 0.689 0.376 0.801
48 O 0.189 0.124 0.199
49 O 0.900 0.903 0.682
50 O 0.400 0.597 0.318
51 O 0.100 0.403 0.818
52 O 0.600 0.097 0.182
53 O 0.106 0.703 0.552
54 O 0.606 0.797 0.448
55 O 0.894 0.203 0.948
56 O 0.394 0.297 0.052
57 O 0.355 0.971 0.031
58 O 0.855 0.529 0.969
59 O 0.645 0.471 0.469
60 O 0.145 0.029 0.531
61 O 0.806 0.815 0.127
62 O 0.306 0.685 0.873
63 O 0.194 0.315 0.373
64 O 0.694 0.185 0.627
65 O 0.832 0.893 0.894
66 O 0.332 0.607 0.106
67 O 0.168 0.393 0.606
68 O 0.668 0.107 0.394

Computed properties:
- E: -85.8 eV per formula unit
- Symmetry: P2_12_12_1, No. 19
- DOS at the Fermi energy: 0.00 states/eV/f.u.

A plane-wave DFT calculation with PBE-GGA was carried out for NaH2RuN after structural relaxation.

Unit cell a=4.016 b=3.708 c=4.016 alpha=90.00 beta=90.00 gamma=90.00
Element x y z (fractional)
1 Ru 0.000 0.500 0.000
2 N 0.000 0.000 0.000
3 H 0.000 0.000 0.500
4 H 0.500 0.000 0.000
5 Na 0.500 0.500 0.500

Computed properties:
- E: -20.4 eV per formula unit
- Symmetry: P4/mmm, No. 123
- DOS at the Fermi energy: 3.34 states/eV/f.u.

A plane-wave DFT calculation with PBE-GGA was carried out for NaHSN2 after structural relaxation.

Unit cell a=4.935 b=4.935 c=5.420 alpha=90.00 beta=90.00 gamma=90.00
Element x y z (fractional)
1 Na 0.000 0.000 0.000
2 S 0.000 0.000 0.500
3 H 0.500 0.500 0.500
4 N 0.000 0.500 0.000
5 N 0.500 0.000 0.000

Computed properties:
- E: -12.9 eV per formula unit
- Symmetry: P4/mmm, No. 123
- DOS at the Fermi energy: 5.74 states/eV/f.u.

A plane-wave DFT calculation with PBE-GGA was carried out for NaHSN2 after structural relaxation.

Unit cell a=3.844 b=3.844 c=3.376 alpha=90.00 beta=90.00 gamma=90.00
Element x y z (fractional)
1 Na 0.500 0.500 0.500
2 S 0.000 0.000 0.500
3 H 0.000 0.000 0.000
4 N 0.000 0.500 0.000
5 N 0.500 0.000 0.000

Computed properties:
- E: -16.9 eV per formula unit
- Symmetry: P4/mmm, No. 123
- DOS at the Fermi energy: 2.54 states/eV/f.u.

A plane-wave DFT calculation with PBE-GGA was carried out for NaH2SN after structural relaxation.

Unit cell a=3.487 b=3.718 c=3.487 alpha=90.00 beta=90.00 gamma=90.00
Element x y z (fractional)
1 Na 0.500 0.500 0.500
2 S 0.000 0.000 0.000
3 H 0.000 0.000 0.500
4 H 0.500 0.000 0.000
5 N 0.000 0.500 0.000

Computed properties:
- E: -17.7 eV per formula unit
- Symmetry: P4/mmm, No. 123
- DOS at the Fermi energy: 0.90 states/eV/f.u.

A plane-wave DFT calculation with PBE-GGA was carried out for NaSc2HN after structural relaxation.

Unit cell a=4.843 b=3.383 c=4.843 alpha=90.00 beta=90.00 gamma=90.00
Element x y z (fractional)
1 Sc 0.000 0.000 0.500
2 Sc 0.500 0.000 0.000
3 Na 0.000 0.000 0.000
4 H 0.000 0.500 0.000
5 N 0.500 0.500 0.500

Computed properties:
- E: -18.9 eV per formula unit
- Symmetry: P4/mmm, No. 123
- DOS at the Fermi energy: 3.16 states/eV/f.u.